# CsHSe2

Crystalline CsHSe2 at its relaxed geometry (PBE-GGA, the Alexandria database).

Results
**V**: 140 Å³/f.u.
**D(E_F)**: 0.571 states/eV/atom
**Energy above the lowest structure with this stoichiometry**: 842 meV per atom
**Symmetry**: Fm-3m
**Raw total energy**: -0.07498 hartree per atom

Lattice parameters (Å, degrees): 5.822 5.822 5.822 60.00 60.00 60.00
Last column: magnetic moment on the atom in μB.
Fractional positions:
1 Cs 0.500 0.500 0.500  0.05
2 Se 0.750 0.750 0.750  0.92
3 Se 0.250 0.250 0.250  0.92
4 H 0.000 0.000 0.000  0.36

# Cs3HSe

Crystalline Cs3HSe at its relaxed geometry (PBE-GGA, the Alexandria database).

Results
**V**: 223 Å³/f.u.
**Energy above the lowest structure with this stoichiometry**: 19 meV per atom
**Symmetry**: P-1
**Raw total energy**: -0.09253 hartree per atom

Lattice parameters (Å, degrees): 5.030 8.891 10.396 92.32 89.92 106.49
Fractional positions:
1 Se 0.633 0.301 0.094
2 Se 0.411 0.853 0.328
3 Cs 0.981 0.996 0.047
4 Cs 0.669 0.371 0.763
5 Cs 0.063 0.158 0.374
6 Cs 0.769 0.571 0.373
7 Cs 0.375 0.783 0.658
8 Cs 0.275 0.583 0.048
9 H 0.849 0.731 0.820
10 H 0.195 0.423 0.601

# CsHSe3

Crystalline CsHSe3 at its relaxed geometry (PBE-GGA, the Alexandria database).

Results
**V**: 395 Å³/f.u.
**D(E_F)**: 2.189 states/eV/atom
**Energy above the lowest structure with this stoichiometry**: 1677 meV per atom
**Symmetry**: Pm-3m
**Raw total energy**: -0.06234 hartree per atom

Lattice parameters (Å, degrees): 7.336 7.336 7.336 90.00 90.00 90.00
Last column: magnetic moment on the atom in μB.
Fractional positions:
1 H 0.500 0.500 0.500  0.38
2 Cs 0.000 0.000 0.000  0.00
3 Se 0.500 0.000 0.000  0.93
4 Se 0.000 0.000 0.500  0.93
5 Se 0.000 0.500 0.000  0.93

# CsHSe2

Crystalline CsHSe2 at its relaxed geometry (PBE-GGA, the Alexandria database).

Results
**V**: 100 Å³/f.u.
**D(E_F)**: 0.579 states/eV/atom
**Energy above the lowest structure with this stoichiometry**: 0 meV per atom
**Symmetry**: I4_1/amd
**Raw total energy**: -0.10592 hartree per atom

Lattice parameters (Å, degrees): 6.416 6.416 6.635 61.08 61.08 90.00
Fractional positions:
1 H 0.250 0.750 0.500
2 H 0.500 0.500 0.000
3 Se 0.375 0.125 0.250
4 Se 0.375 0.625 0.250
5 Se 0.875 0.625 0.750
6 Se 0.375 0.625 0.750
7 Cs 0.750 0.250 0.500
8 Cs 0.000 0.000 0.000

# Cs3HSe

Crystalline Cs3HSe at its relaxed geometry (PBE-GGA, the Alexandria database).

Results
**V**: 207 Å³/f.u.
**D(E_F)**: 0.000 states/eV/atom
**Energy above the lowest structure with this stoichiometry**: 0 meV per atom
**Symmetry**: Pmmn
**Raw total energy**: -0.09321 hartree per atom

Lattice parameters (Å, degrees): 5.025 8.005 10.274 90.00 90.00 90.00
Fractional positions:
1 Cs 0.750 0.511 0.657
2 Cs 0.750 0.989 0.657
3 Cs 0.250 0.011 0.343
4 Cs 0.250 0.489 0.343
5 Cs 0.250 0.250 0.937
6 Cs 0.750 0.750 0.063
7 H 0.250 0.250 0.589
8 H 0.750 0.750 0.411
9 Se 0.750 0.250 0.173
10 Se 0.250 0.750 0.827

# Cs6H4Se

Crystalline Cs6H4Se at its relaxed geometry (PBE-GGA, the Alexandria database).

Results
**V**: 406 Å³/f.u.
**D(E_F)**: 0.000 states/eV/atom
**Symmetry**: Cmcm
**Raw total energy**: -0.08822 hartree per atom

Lattice parameters (Å, degrees): 4.743 7.858 22.872 90.00 90.00 107.57
Fractional positions:
1 H 0.405 0.810 0.377
2 H 0.862 0.725 0.961
3 H 0.138 0.275 0.039
4 H 0.862 0.725 0.539
5 H 0.405 0.810 0.123
6 H 0.138 0.275 0.461
7 H 0.595 0.190 0.623
8 H 0.595 0.190 0.877
9 Cs 0.670 0.340 0.750
10 Cs 0.049 0.097 0.159
11 Cs 0.500 0.000 0.500
12 Cs 0.229 0.458 0.914
13 Cs 0.229 0.458 0.586
14 Cs 0.951 0.903 0.841
15 Cs 0.951 0.903 0.659
16 Cs 0.771 0.542 0.086
17 Cs 0.330 0.660 0.250
18 Cs 0.500 0.000 0.000
19 Cs 0.049 0.097 0.341
20 Cs 0.771 0.542 0.414
21 Se 0.337 0.675 0.750
22 Se 0.663 0.325 0.250

# Cs5H2Se4

Crystalline Cs5H2Se4 at its relaxed geometry (PBE-GGA, the Alexandria database).

Results
**V**: 522 Å³/f.u.
**Symmetry**: C2/m
**Raw total energy**: -0.11180 hartree per atom

Lattice parameters (Å, degrees): 6.409 8.844 9.757 88.49 109.18 90.00
Last column: magnetic moment on the atom in μB.
Fractional positions:
1 Cs 0.873 0.498 0.746  0.01
2 Cs 0.127 0.502 0.254  0.01
3 Cs 0.834 0.044 0.668  0.00
4 Cs 0.500 0.000 0.000  0.00
5 Cs 0.166 0.956 0.332  0.00
6 H 0.380 0.294 0.760  0.00
7 H 0.620 0.706 0.240  0.00
8 Se 0.301 0.263 0.602  0.00
9 Se 0.699 0.737 0.398  0.00
10 Se 0.011 0.190 0.021  0.27
11 Se 0.989 0.810 0.979  0.27

# CsH3Se

Crystalline CsH3Se at its relaxed geometry (PBE-GGA, the Alexandria database).

Results
**V**: 76 Å³/f.u.
**D(E_F)**: 0.157 states/eV/atom
**Energy above the lowest structure with this stoichiometry**: 0 meV per atom
**Symmetry**: Pm-3m
**Raw total energy**: -0.09855 hartree per atom

Lattice parameters (Å, degrees): 4.228 4.228 4.228 90.00 90.00 90.00
Fractional positions:
1 H 0.500 0.000 0.000
2 H 0.000 0.500 0.000
3 H 0.000 0.000 0.500
4 Cs 0.500 0.500 0.500
5 Se 0.000 0.000 0.000

# Cs2HSe2

Crystalline Cs2HSe2 at its relaxed geometry (PBE-GGA, the Alexandria database).

Results
**V**: 159 Å³/f.u.
**D(E_F)**: 0.172 states/eV/atom
**Energy above the lowest structure with this stoichiometry**: 234 meV per atom
**Symmetry**: I4/mmm
**Raw total energy**: -0.10297 hartree per atom

Lattice parameters (Å, degrees): 4.023 4.023 10.235 78.67 78.67 90.00
Fractional positions:
1 Se 0.750 0.250 0.500
2 Se 0.250 0.750 0.500
3 Cs 0.596 0.596 0.808
4 Cs 0.404 0.404 0.192
5 H 0.000 0.000 0.000

# CsHSe

Crystalline CsHSe at its relaxed geometry (PBE-GGA, the Alexandria database).

Results
**V**: 113 Å³/f.u.
**D(E_F)**: 0.000 states/eV/atom
**Symmetry**: I4mm
**Raw total energy**: -0.12010 hartree per atom

Lattice parameters (Å, degrees): 5.203 5.203 5.564 117.88 117.88 90.00
Fractional positions:
1 H 0.356 0.356 0.711
2 Se 0.533 0.533 0.067
3 Cs 0.961 0.961 0.922

# CsHSe

Crystalline CsHSe at its relaxed geometry (PBE-GGA, the Alexandria database).

Results
**V**: 104 Å³/f.u.
**D(E_F)**: 0.000 states/eV/atom
**Symmetry**: Pnma
**Raw total energy**: -0.12042 hartree per atom

Lattice parameters (Å, degrees): 7.426 7.323 7.635 90.00 90.00 90.00
Fractional positions:
1 Cs 0.750 0.742 0.055
2 Cs 0.250 0.258 0.945
3 Cs 0.750 0.242 0.445
4 Cs 0.250 0.758 0.555
5 H 0.750 0.392 0.825
6 H 0.750 0.892 0.675
7 H 0.250 0.108 0.325
8 H 0.250 0.608 0.175
9 Se 0.250 0.267 0.448
10 Se 0.750 0.733 0.552
11 Se 0.750 0.233 0.948
12 Se 0.250 0.767 0.052

# CsHSe

Crystalline CsHSe at its relaxed geometry (PBE-GGA, the Alexandria database).

Results
**V**: 100 Å³/f.u.
**D(E_F)**: 0.000 states/eV/atom
**Symmetry**: Pm
**Raw total energy**: -0.12053 hartree per atom

Lattice parameters (Å, degrees): 4.591 4.897 4.770 90.00 110.66 90.00
Fractional positions:
1 Cs 0.291 0.500 0.453
2 H 0.713 0.000 0.995
3 Se 0.934 0.000 0.830